A plane-wave DFT calculation with PBE-GGA was carried out for an optimized crystal structure of ZrAs2W. Values from VASP.

Summary:
ρ, Mg/m³: 9.9
Raw total energy, eV per cell: -30.0

```
&SYSTEM
  ibrav = 0, nat = 4, ntyp = 3
/
ATOMIC_SPECIES
As 74.92 As.upf
Zr 91.22 Zr.upf
W 183.84 W.upf
CELL_PARAMETERS angstrom
0.000 3.287 3.287
3.287 0.000 3.287
3.287 3.287 0.000
ATOMIC_POSITIONS crystal
As 0.750 0.750 0.750
As 0.000 0.000 0.000
Zr 0.250 0.250 0.250
W 0.500 0.500 0.500
```

A plane-wave DFT calculation with PBE-GGA was carried out for an optimized crystal structure of YZnAs. Values from VASP.

Summary:
ρ, Mg/m³: 5.0
Raw total energy, eV per cell: -13.8

```
&SYSTEM
  ibrav = 0, nat = 3, ntyp = 3
/
ATOMIC_SPECIES
Zn 65.41 Zn.upf
Y 88.91 Y.upf
As 74.92 As.upf
CELL_PARAMETERS angstrom
0.000 3.371 3.371
3.371 0.000 3.371
3.371 3.371 0.000
ATOMIC_POSITIONS crystal
Zn 0.750 0.750 0.750
Y 0.000 0.000 0.000
As 0.250 0.250 0.250
```

A plane-wave DFT calculation with PBE-GGA was carried out for an optimized crystal structure of YZnAs2. Values from VASP.

Summary:
ρ, Mg/m³: 6.1
Raw total energy, eV per cell: -17.9

```
&SYSTEM
  ibrav = 0, nat = 4, ntyp = 3
/
ATOMIC_SPECIES
Zn 65.41 Zn.upf
As 74.92 As.upf
Y 88.91 Y.upf
CELL_PARAMETERS angstrom
-0.490 -3.284 3.600
-3.956 0.102 2.886
-3.378 -3.530 -0.348
ATOMIC_POSITIONS crystal
Zn 0.250 0.250 0.250
As 0.750 0.750 0.750
As 0.000 0.000 0.000
Y 0.500 0.500 0.500
```

A plane-wave DFT calculation with PBE-GGA was carried out for an optimized crystal structure of Y2ZrAs. Values from VASP.

Summary:
ρ, Mg/m³: 6.1
Raw total energy, eV per cell: -26.4

```
&SYSTEM
  ibrav = 0, nat = 4, ntyp = 3
/
ATOMIC_SPECIES
As 74.92 As.upf
Zr 91.22 Zr.upf
Y 88.91 Y.upf
CELL_PARAMETERS angstrom
0.399 -4.280 -2.747
-4.096 -2.951 -0.732
-2.151 -0.277 -4.617
ATOMIC_POSITIONS crystal
As 0.500 0.500 0.500
Zr 0.250 0.250 0.250
Y 0.000 0.000 0.000
Y 0.750 0.750 0.750
```

A plane-wave DFT calculation with PBE-GGA was carried out for an optimized crystal structure of YZrAs. Values from VASP.

Summary:
ρ, Mg/m³: 5.9
Raw total energy, eV per cell: -21.5

```
&SYSTEM
  ibrav = 0, nat = 3, ntyp = 3
/
ATOMIC_SPECIES
As 74.92 As.upf
Y 88.91 Y.upf
Zr 91.22 Zr.upf
CELL_PARAMETERS angstrom
-1.828 1.096 4.160
-2.471 3.935 0.503
-4.624 -0.211 0.650
ATOMIC_POSITIONS crystal
As 0.000 0.000 0.000
Y 0.250 0.250 0.250
Zr 0.750 0.750 0.750
```

A plane-wave DFT calculation with PBE-GGA was carried out for an optimized crystal structure of Zn3As2. Values from VASP.

Summary:
ρ, Mg/m³: 5.5
Raw total energy, eV per cell: -110.6

```
&SYSTEM
  ibrav = 0, nat = 40, ntyp = 2
/
ATOMIC_SPECIES
As 74.92 As.upf
Zn 65.41 Zn.upf
CELL_PARAMETERS angstrom
8.394 0.000 0.000
0.000 8.394 0.000
0.000 0.000 11.853
ATOMIC_POSITIONS crystal
As 0.000 0.500 0.247
As 0.247 0.247 0.500
As 0.500 0.000 0.753
As 0.253 0.253 0.000
As 0.753 0.753 0.500
As 0.253 0.747 0.000
As 0.500 0.500 0.255
As 0.747 0.747 0.000
As 0.000 0.000 0.755
As 0.753 0.247 0.500
As 0.500 0.500 0.745
As 0.747 0.253 0.000
As 0.000 0.000 0.245
As 0.500 0.000 0.253
As 0.000 0.500 0.747
As 0.247 0.753 0.500
Zn 0.277 0.000 0.616
Zn 0.000 0.776 0.109
Zn 0.000 0.277 0.384
Zn 0.746 0.500 0.147
Zn 0.754 0.000 0.353
Zn 0.500 0.254 0.853
Zn 0.246 0.000 0.353
Zn 0.500 0.223 0.116
Zn 0.723 0.000 0.616
Zn 0.776 0.000 0.891
Zn 0.224 0.000 0.891
Zn 0.500 0.724 0.391
Zn 0.500 0.276 0.391
Zn 0.000 0.246 0.647
Zn 0.500 0.746 0.853
Zn 0.276 0.500 0.609
Zn 0.000 0.224 0.109
Zn 0.254 0.500 0.147
Zn 0.000 0.723 0.384
Zn 0.777 0.500 0.884
Zn 0.000 0.754 0.647
Zn 0.500 0.777 0.116
Zn 0.724 0.500 0.609
Zn 0.223 0.500 0.884
```

A plane-wave DFT calculation with PBE-GGA was carried out for an optimized crystal structure of ZnAs. Values from VASP.

Summary:
ρ, Mg/m³: 6.6
Raw total energy, eV per cell: -11.5

```
&SYSTEM
  ibrav = 0, nat = 4, ntyp = 2
/
ATOMIC_SPECIES
As 74.92 As.upf
Zn 65.41 Zn.upf
CELL_PARAMETERS angstrom
4.802 0.000 0.000
0.000 2.833 0.000
0.000 0.000 5.186
ATOMIC_POSITIONS crystal
As 0.665 0.500 0.000
As 0.168 0.000 0.500
Zn 0.167 0.000 0.000
Zn 0.666 0.500 0.500
```

A plane-wave DFT calculation with PBE-GGA was carried out for an optimized crystal structure of ZnAs. Values from VASP.

Summary:
ρ, Mg/m³: 6.4
Raw total energy, eV per cell: -28.6

```
&SYSTEM
  ibrav = 0, nat = 10, ntyp = 2
/
ATOMIC_SPECIES
As 74.92 As.upf
Zn 65.41 Zn.upf
CELL_PARAMETERS angstrom
2.299 3.976 0.000
-5.353 5.738 0.000
0.000 0.000 5.278
ATOMIC_POSITIONS crystal
As 0.248 0.672 0.000
As 0.841 0.486 0.000
As 0.617 0.936 0.000
As 0.219 0.728 0.500
As 0.448 0.269 0.500
Zn 0.438 0.293 0.000
Zn 0.034 0.098 0.500
Zn 0.032 0.106 0.000
Zn 0.632 0.901 0.500
Zn 0.826 0.512 0.500
```

A plane-wave DFT calculation with PBE-GGA was carried out for an optimized crystal structure of ZnAs. Values from VASP.

Summary:
ρ, Mg/m³: 6.0
Raw total energy, eV per cell: -34.9

```
&SYSTEM
  ibrav = 0, nat = 12, ntyp = 2
/
ATOMIC_SPECIES
As 74.92 As.upf
Zn 65.41 Zn.upf
CELL_PARAMETERS angstrom
-4.101 -1.939 -2.845
0.089 -6.864 5.086
-3.281 2.300 3.162
ATOMIC_POSITIONS crystal
As 0.904 0.738 0.000
As 0.934 0.095 0.500
As 0.435 0.095 0.000
As 0.932 0.384 0.500
As 0.397 0.449 0.500
As 0.401 0.738 0.500
Zn 0.913 0.445 0.000
Zn 0.408 0.789 0.000
Zn 0.900 0.741 0.500
Zn 0.931 0.044 0.000
Zn 0.410 0.387 0.000
Zn 0.435 0.092 0.500
```

A plane-wave DFT calculation with PBE-GGA was carried out for an optimized crystal structure of ZnAs. Values from VASP.

Summary:
ρ, Mg/m³: 5.9
Raw total energy, eV per cell: -35.2

```
&SYSTEM
  ibrav = 0, nat = 12, ntyp = 2
/
ATOMIC_SPECIES
As 74.92 As.upf
Zn 65.41 Zn.upf
CELL_PARAMETERS angstrom
8.202 -1.822 0.000
-0.251 5.973 0.000
0.000 0.000 4.886
ATOMIC_POSITIONS crystal
As 0.723 0.161 0.000
As 0.632 0.607 0.500
As 0.615 0.196 0.500
As 0.257 0.115 0.000
As 0.166 0.561 0.500
As 0.274 0.526 0.000
Zn 0.301 0.014 0.500
Zn 0.936 0.761 0.500
Zn 0.588 0.708 0.000
Zn 0.941 0.183 0.500
Zn 0.953 0.962 0.000
Zn 0.948 0.539 0.000
```

A plane-wave DFT calculation with PBE-GGA was carried out for an optimized crystal structure of ZnAs. Values from VASP.

Summary:
ρ, Mg/m³: 5.5
Raw total energy, eV per cell: -35.6

```
&SYSTEM
  ibrav = 0, nat = 12, ntyp = 2
/
ATOMIC_SPECIES
As 74.92 As.upf
Zn 65.41 Zn.upf
CELL_PARAMETERS angstrom
8.295 -0.191 0.000
0.982 6.478 0.000
0.000 0.000 4.733
ATOMIC_POSITIONS crystal
As 0.547 0.521 0.500
As 0.192 0.285 0.000
As 0.727 0.164 0.000
As 0.495 0.892 0.500
As 0.675 0.535 0.000
As 0.030 0.770 0.500
Zn 0.018 0.001 0.000
Zn 0.969 0.599 0.000
Zn 0.766 0.029 0.500
Zn 0.204 0.055 0.500
Zn 0.253 0.456 0.500
Zn 0.456 0.027 0.000
```

A plane-wave DFT calculation with PBE-GGA was carried out for an optimized crystal structure of ZnAs. Values from VASP.

Summary:
ρ, Mg/m³: 6.4
Raw total energy, eV per cell: -29.0

```
&SYSTEM
  ibrav = 0, nat = 10, ntyp = 2
/
ATOMIC_SPECIES
Zn 65.41 Zn.upf
As 74.92 As.upf
CELL_PARAMETERS angstrom
2.375 4.107 0.000
-5.275 5.781 0.000
0.000 0.000 5.136
ATOMIC_POSITIONS crystal
Zn 0.843 0.401 0.500
Zn 0.444 0.197 0.500
Zn 0.233 0.613 0.000
Zn 0.042 0.987 0.000
Zn 0.553 0.801 0.500
As 0.433 0.212 0.000
As 0.654 0.793 0.000
As 0.840 0.399 0.000
As 0.022 0.045 0.500
As 0.270 0.553 0.500
```